Entry 1:
Material: Pm10SmTm6
Method: DFT, PBE
State: relaxed

Values from the calculation:
Fermi-level density of states, states/eV per cell: 25.68
Total moment, μB/cell: 0.00
ΔH_f (0 K), eV/atom: 0.1319

Geometry as POSCAR:
```
Pm10SmTm6
1.0
6.8677 0.0000 0.0000
0.0000 8.4609 -4.8849
0.0000 0.0000 9.7698
Pm Sm Tm
10 1 6
Cartesian
5.6237 6.1119 3.5287
5.6237 0.0000 2.7124
5.6237 2.3490 -1.3562
1.2440 2.3490 1.3562
1.2440 0.0000 7.0574
1.2440 6.1119 -3.5287
3.4338 2.8203 4.8849
3.4338 5.6406 0.0000
0.0000 5.6406 0.0000
0.0000 2.8203 4.8849
3.4338 0.0000 0.0000
4.7225 3.1272 1.8055
4.7225 0.0000 6.1588
4.7225 5.3337 -3.0794
2.1452 5.3337 3.0794
2.1452 0.0000 3.6110
2.1452 3.1272 -1.8055
```

---

Entry 2:
Material: NdSiPt3
Method: DFT, PBE
State: relaxed

Values from the calculation:
Fermi-level density of states, states/eV per cell: 4.53
Total moment, μB/cell: 0.00
Uncorrected formation energy, meV/atom: -749

Geometry as POSCAR:
```
NdSiPt3
1.0
-1.4880 0.4506 4.4118
4.0417 -3.7607 1.7472
4.7778 5.6169 1.0378
Nd Si Pt
2 2 6
Cartesian
-0.7440 0.2253 2.2059
3.6658 1.1534 3.5984
2.0209 -1.8804 0.8736
2.3889 2.8084 0.5189
1.2769 -1.6551 3.0795
1.6449 3.0337 2.7248
4.2254 -1.4150 1.5696
2.2036 0.4642 0.6958
4.5941 3.2711 1.2154
6.6159 1.3920 2.0892
```

---

Entry 3:
Material: Na8B11C5
Method: DFT, PBE
State: relaxed

Values from the calculation:
Fermi-level density of states, states/eV per cell: 3.72
Total moment, μB/cell: 0.00
ΔH_f (0 K), eV/atom: 0.1378

Geometry as POSCAR:
```
Na8B11C5
1.0
5.3418 0.2399 -16.5038
0.3193 3.0927 -17.0686
-0.3658 -0.2400 17.3440
Na C B
8 5 11
Cartesian
5.2653 3.0888 -16.1942
0.7243 0.4203 -4.2319
1.0461 0.5930 8.9523
1.7543 1.0099 4.7518
2.8345 1.6626 -16.7474
3.1554 1.8467 -3.6807
4.2469 2.4975 -25.1588
4.9610 2.9180 -29.3951
2.7267 0.6265 -6.0307
4.1361 1.4564 -14.3907
0.2172 2.0535 -6.3199
5.0853 1.0414 -9.9313
1.6243 2.8820 -14.6661
1.1221 1.6253 -1.7307
1.8766 2.0531 -6.0352
1.9946 0.1987 -1.7222
2.5248 2.4678 -10.2220
3.2854 2.8825 -14.3902
3.5624 1.0414 -10.1884
3.6651 0.2176 -1.6358
4.3902 0.6267 -5.7520
4.8577 1.8842 -18.7014
0.4572 1.2162 2.3961
0.8615 2.4678 -10.5029
```

---

Entry 4:
Material: CsTa3Al
Method: DFT, PBE
State: relaxed

Values from the calculation:
Fermi-level density of states, states/eV per cell: 5.07
Total moment, μB/cell: 0.00
ΔH_f (0 K), eV/atom: 3.1089

Geometry as POSCAR:
```
CsTa3Al
1.0
-0.2349 1.4067 -4.8008
-4.8626 1.0649 0.5500
1.1753 4.6871 1.3159
Cs Al Ta
1 1 3
Cartesian
0.0000 0.0000 0.0000
-1.9611 3.5793 -1.4675
-2.4313 0.5324 0.2750
0.5876 2.3435 0.6579
-0.1175 0.7033 -2.4004
```

---

Entry 5:
Material: CsHgI2
Method: DFT, PBE
State: relaxed

Values from the calculation:
Total moment, μB/cell: 0.00
Uncorrected formation energy, meV/atom: -833

Geometry as POSCAR:
```
CsHgI2
1.0
10.4401 0.0000 0.0000
0.0000 9.0168 -0.5595
0.0000 -4.8218 9.6591
Cs Hg I
4 4 8
Cartesian
1.6147 2.2130 0.1953
3.6053 4.3105 4.7451
8.8254 1.9819 8.9044
6.8348 -0.1156 4.3546
7.3552 -2.5861 7.9164
2.1351 -0.1382 6.2926
3.0850 6.7811 1.1832
8.3051 4.3332 2.8071
4.6202 -1.4766 7.3350
2.0934 2.8194 7.9457
9.8402 -1.2478 6.8740
5.8200 5.6715 1.7647
8.3467 1.3756 1.1539
7.3135 3.4730 5.7038
3.1266 0.7219 3.3959
0.5999 5.4428 2.2257
```

---

Entry 6:
Material: YZrPt3
Method: DFT, PBE
State: relaxed

Values from the calculation:
Fermi-level density of states, states/eV per cell: 4.79
Total moment, μB/cell: 0.00
ΔH_f (0 K), eV/atom: 0.5417

Geometry as POSCAR:
```
YZrPt3
1.0
-3.5955 0.8050 -3.3761
-3.4034 -1.7705 3.2024
-0.6802 4.6033 1.8221
Y Zr Pt
1 1 3
Cartesian
0.0000 0.0000 0.0000
-3.8396 1.8189 0.8242
-1.7017 -0.8853 1.6012
-0.3401 2.3017 0.9111
-1.7977 0.4025 -1.6880
```